Mg3Ga3Sn after structural relaxation. Source: Alexandria, functional PBE.

a b c (Å): 7.4587 7.4587 7.4587
angles (deg): 90.00 90.00 90.00
Last column: nearest neighbours and their distance in Å.
Atoms (fractional coordinates):
1 Ga 0.0000 0.5000 0.7500  4 Mg 2.64
2 Sn 0.5000 0.5000 0.5000  12 Mg 4.17, 12 Ga 4.17
3 Mg 0.7500 0.5000 0.0000  4 Ga 2.64
4 Mg 0.5000 0.0000 0.7500  4 Ga 2.64
5 Ga 0.5000 0.7500 0.0000  4 Mg 2.64
6 Ga 0.2500 0.0000 0.5000  4 Mg 2.64
7 Mg 0.5000 0.0000 0.2500  4 Ga 2.64
8 Ga 0.0000 0.5000 0.2500  4 Mg 2.64
9 Ga 0.7500 0.0000 0.5000  4 Mg 2.64
10 Ga 0.5000 0.2500 0.0000  4 Mg 2.64
11 Mg 0.2500 0.5000 0.0000  4 Ga 2.64
12 Mg 0.0000 0.7500 0.5000  4 Ga 2.64
13 Mg 0.0000 0.2500 0.5000  4 Ga 2.64
14 Sn 0.0000 0.0000 0.0000  12 Mg 4.17, 12 Ga 4.17

Results
calculated volume: 29.64 A^3/atom
calculated density: 3.2 g cm⁻³
polymorph energy (0 for the lowest one): 0.589 eV/atom
energy of formation from the pure elements: 0.502 eV per atom
space-group type: Pm-3n



Ba2Ca2Sb after structural relaxation. Source: Alexandria, functional PBE.

a b c (Å): 8.9069 8.9069 6.2109
angles (deg): 90.00 90.00 90.00
Last column: nearest neighbours and their distance in Å.
Atoms (fractional coordinates):
1 Sb 0.5000 0.5000 0.0000  4 Ba 3.38
2 Ca 0.8376 0.3376 0.5000  6 Ba 3.88-4.19, 1 Ca 4.09
3 Ca 0.6624 0.8376 0.5000  6 Ba 3.88-4.19, 1 Ca 4.09
4 Ca 0.1624 0.6624 0.5000  6 Ba 3.88-4.19, 1 Ca 4.09
5 Ba 0.8470 0.6530 0.0000  2 Sb 3.38
6 Ba 0.3470 0.8470 0.0000  2 Sb 3.38
7 Sb 0.0000 0.0000 0.0000  4 Ba 3.38
8 Ba 0.6530 0.1530 0.0000  2 Sb 3.38
9 Ca 0.3376 0.1624 0.5000  6 Ba 3.88-4.19, 1 Ca 4.09
10 Ba 0.1530 0.3470 0.0000  2 Sb 3.38

Results
calculated volume: 49.27 A^3/atom
calculated density: 3.2 g cm⁻³
polymorph energy (0 for the lowest one): 0.199 eV/atom
energy relative to the elements, uncorrected: -0.53 eV per formula unit
space-group type: P4/mbm



CaAlSN2 after structural relaxation. Source: Alexandria, functional PBE.

a b c (Å): 3.8446 3.8446 5.0333
angles (deg): 90.00 90.00 90.00
Last column: nearest neighbours and their distance in Å.
Atoms (fractional coordinates):
1 N 0.0000 0.5000 0.0000  2 Al 1.92
2 S 0.0000 0.0000 0.5000  2 Al 2.52, 4 Ca 2.72
3 N 0.5000 0.0000 0.0000  2 Al 1.92
4 Al 0.0000 0.0000 0.0000  4 N 1.92
5 Ca 0.5000 0.5000 0.5000  4 S 2.72

Results
calculated volume: 14.88 A^3/atom
calculated density: 2.8 g cm⁻³
polymorph energy (0 for the lowest one): 0.000 eV/atom
energy relative to the elements, uncorrected: -1.08 eV per formula unit
space-group type: P4/mmm



Pm5Pr4Sc after structural relaxation. Source: Alexandria, functional PBE.

a b c (Å): 4.2707 4.2707 18.6813
angles (deg): 90.00 90.00 90.00
Last column: nearest neighbours and their distance in Å.
Atoms (fractional coordinates):
1 Pm 0.5000 0.5000 0.2961  8 Pr 3.52-3.56, 2 Pm 3.81
2 Pm 0.5000 0.5000 0.9080  2 Pm 3.44-3.81, 4 Sc 3.47, 4 Pr 3.62
3 Pr 0.0000 0.0000 0.1990  8 Pm 3.52-3.62, 1 Pr 3.71, 1 Sc 3.72
4 Pm 0.5000 0.5000 0.5000  8 Pr 3.58, 2 Pm 3.81
5 Pr 0.0000 0.0000 0.8010  8 Pm 3.52-3.62, 1 Pr 3.71, 1 Sc 3.72
6 Pm 0.5000 0.5000 0.0920  2 Pm 3.44-3.81, 4 Sc 3.47, 4 Pr 3.62
7 Pr 0.0000 0.0000 0.3974  8 Pm 3.56-3.58, 2 Pr 3.71-3.83
8 Pm 0.5000 0.5000 0.7039  8 Pr 3.52-3.56, 2 Pm 3.81
9 Sc 0.0000 0.0000 0.0000  8 Pm 3.47, 2 Pr 3.72
10 Pr 0.0000 0.0000 0.6026  8 Pm 3.56-3.58, 2 Pr 3.71-3.83

Results
calculated volume: 34.07 A^3/atom
calculated density: 6.5 g cm⁻³
polymorph energy (0 for the lowest one): 0.000 eV/atom
energy of formation from the pure elements: 0.117 eV per atom
space-group type: P4/mmm



Y3MnNb after structural relaxation. Source: Alexandria, functional PBE.

a b c (Å): 5.3272 5.3272 5.3272
angles (deg): 90.00 90.00 90.00
Last column: nearest neighbours and their distance in Å.
Atoms (fractional coordinates):
1 Nb 0.0000 0.0000 0.0000  6 Y 2.66
2 Y 0.5000 0.0000 0.0000  2 Nb 2.66
3 Mn 0.5000 0.5000 0.5000  12 Y 3.77
4 Y 0.0000 0.5000 0.0000  2 Nb 2.66
5 Y 0.0000 0.0000 0.5000  2 Nb 2.66

Results
calculated volume: 30.24 A^3/atom
calculated density: 4.6 g cm⁻³
polymorph energy (0 for the lowest one): 0.538 eV/atom
energy of formation from the pure elements: 1.304 eV per atom
space-group type: Pm-3m



Dy4Cu2HgOs after structural relaxation. Source: Alexandria, functional PBE.

a b c (Å): 4.9914 4.9914 8.6062
angles (deg): 73.14 73.14 60.00
Last column: nearest neighbours and their distance in Å.
Atoms (fractional coordinates):
1 Cu 0.2531 0.2531 0.2406  8 Dy 2.96-3.15
2 Hg 0.0000 0.0000 0.0000  8 Dy 3.12-3.20, 6 Cu 3.48
3 Os 0.5000 0.5000 0.5000  8 Dy 2.85-3.01
4 Dy 0.3828 0.3828 0.8516  1 Os 2.85, 4 Cu 2.98-3.15, 3 Hg 3.12
5 Cu 0.7469 0.7469 0.7594  8 Dy 2.96-3.15
6 Dy 0.6172 0.6172 0.1484  1 Os 2.85, 4 Cu 2.98-3.15, 3 Hg 3.12
7 Dy 0.1315 0.1315 0.6054  4 Cu 2.96-3.14, 3 Os 3.01, 1 Hg 3.20
8 Dy 0.8685 0.8685 0.3946  4 Cu 2.96-3.14, 3 Os 3.01, 1 Hg 3.20

Results
calculated volume: 21.87 A^3/atom
calculated density: 11.1 g cm⁻³
energy of formation from the pure elements: -0.319 eV per atom
space-group type: R-3m



CsK2NaSe after structural relaxation. Source: Alexandria, functional PBE.

a b c (Å): 6.6561 6.6561 5.9543
angles (deg): 90.00 90.00 90.00
Last column: nearest neighbours and their distance in Å.
Atoms (fractional coordinates):
1 Se 0.0000 0.0000 0.0000  2 Na 2.98, 4 K 3.33
2 K 0.0000 0.5000 0.0000  2 Se 3.33
3 K 0.5000 0.0000 0.0000  2 Se 3.33
4 Na 0.0000 0.0000 0.5000  2 Se 2.98
5 Cs 0.5000 0.5000 0.5000  8 K 4.47, 4 Na 4.71

Results
calculated volume: 52.76 A^3/atom
calculated density: 2.0 g cm⁻³
polymorph energy (0 for the lowest one): 0.074 eV/atom
energy relative to the elements, uncorrected: -2.48 eV per formula unit
space-group type: P4/mmm